LiSiHg (GGA-PBE, optimized geometry); ΔE to the lowest computed polymorph = 0.000 eV/f.u.; magnetization = 0.000 μB/atom; raw formation energy = -0.10 eV/atom; uncorrected energy = -0.195 Ry per atom; N(E_F) = 0.211 states/eV per atom
1.0
1.9775 -7.8343 0.0000
1.9775 7.8343 0.0000
0.0000 0.0000 3.7585
Li Si Hg
2 2 2
direct
0.0932 0.9068 0.7500 Li
0.9068 0.0932 0.2500 Li
0.4574 0.5426 0.7500 Si
0.5426 0.4574 0.2500 Si
0.2904 0.7096 0.7500 Hg
0.7096 0.2904 0.2500 Hg